Entry from Alexandria: an optimized crystal structure of YSe2NCl (PBE).

Values from the calculation:
D(E_F): 7.21 states/eV/f.u.
formation energy from raw total energies: 0.4200 eV per atom
offset from the most stable computed form: 0.0 kJ per mole of atoms

The structure in CIF format:
```
data_YSe2NCl
_chemical_formula_sum 'Y1 Se2 N1 Cl1'
_space_group_name_H-M_alt 'P 4/m m m'
_space_group_IT_number 123
_space_group_name_Hall '-P 4 2'
_cell_length_a 5.7231
_cell_length_b 5.7231
_cell_length_c 4.3093
_cell_angle_alpha 90.00
_cell_angle_beta 90.00
_cell_angle_gamma 90.00
loop_
_atom_site_label
_atom_site_fract_x
_atom_site_fract_y
_atom_site_fract_z
_atom_site_occupancy
Y1 0.0000 0.0000 0.0000 1
Se1 0.0000 0.5000 0.0000 1
N1 0.0000 0.0000 0.5000 1
Cl1 0.5000 0.5000 0.5000 1
```

---

Entry from Alexandria: an optimized crystal structure of TcOsSe2N (PBE).

Values from the calculation:
D(E_F): 5.10 states/eV/f.u.
formation energy from raw total energies: 1.1318 eV per atom
offset from the most stable computed form: 25.5 kJ per mole of atoms

The structure in CIF format:
```
data_TcOsSe2N
_chemical_formula_sum 'Tc1 Os1 Se2 N1'
_space_group_name_H-M_alt 'P 4/m m m'
_space_group_IT_number 123
_space_group_name_Hall '-P 4 2'
_cell_length_a 4.9702
_cell_length_b 4.9702
_cell_length_c 3.6395
_cell_angle_alpha 90.00
_cell_angle_beta 90.00
_cell_angle_gamma 90.00
loop_
_atom_site_label
_atom_site_fract_x
_atom_site_fract_y
_atom_site_fract_z
_atom_site_occupancy
Tc1 0.0000 0.0000 0.0000 1
Os1 0.5000 0.5000 0.5000 1
Se1 0.0000 0.5000 0.0000 1
N1 0.0000 0.0000 0.5000 1
```

---

Entry from Alexandria: an optimized crystal structure of TlPt4Se (PBE).

Values from the calculation:
D(E_F): 7.07 states/eV/f.u.
formation energy from raw total energies: 0.2844 eV per atom

The structure in CIF format:
```
data_TlPt4Se
_chemical_formula_sum 'Tl4 Pt16 Se4'
_space_group_name_H-M_alt 'F -4 3 m'
_space_group_IT_number 216
_space_group_name_Hall 'F -4 2 3'
_cell_length_a 7.6544
_cell_length_b 7.6544
_cell_length_c 7.6544
_cell_angle_alpha 90.00
_cell_angle_beta 90.00
_cell_angle_gamma 90.00
loop_
_atom_site_label
_atom_site_fract_x
_atom_site_fract_y
_atom_site_fract_z
_atom_site_occupancy
Tl1 0.0000 0.0000 0.0000 1
Pt1 0.1247 0.1247 0.6247 1
Se1 0.2500 0.2500 0.2500 1
```